Pr4NpSb5 PBE-GGA relaxed; electronic total energy = -62.511 eV per cell; space group = No. 139
1.0
-2.266 2.266 15.991
2.266 -2.266 15.991
2.266 2.266 -15.991
Pr Np Sb
4 1 5
Cartesian
0.000 0.000 3.202
0.000 0.000 9.612
0.000 0.000 22.370
0.000 0.000 28.780
0.000 0.000 15.991
0.000 0.000 0.000
0.000 0.000 6.395
0.000 0.000 12.866
0.000 0.000 19.117
0.000 0.000 25.587